# 1
Here is CoCuNi14 after structural relaxation from Alexandria via LeMat-Bulk. Energies are from GGA-PBE.

Properties
Symmetry: Amm2 (38)
Formation energy from the elements (meV per atom): 21

abc: 4.983 4.983 8.149
angles: 90.00 90.00 119.99
Positions (direct):
Co 0.542 0.458 0.500
Cu 0.041 0.959 0.500
Ni 0.208 0.792 0.000
Ni 0.708 0.292 0.000
Ni 0.042 0.459 0.500
Ni 0.209 0.292 0.000
Ni 0.541 0.958 0.500
Ni 0.708 0.791 0.000
Ni 0.377 0.126 0.750
Ni 0.377 0.126 0.250
Ni 0.874 0.623 0.750
Ni 0.874 0.623 0.250
Ni 0.376 0.624 0.748
Ni 0.376 0.624 0.252
Ni 0.874 0.126 0.752
Ni 0.874 0.126 0.248

***

# 2
Here is ThFeB3 after structural relaxation from Alexandria via LeMat-Bulk. Energies are from GGA-PBE.

Properties
Symmetry: I4mm (107)
Formation energy from the elements (meV per atom): 46

abc: 3.588 3.588 5.123
angles: 110.50 110.50 90.00
Positions (direct):
Th 0.008 0.008 0.015
Fe 0.652 0.652 0.304
B 0.276 0.776 0.552
B 0.776 0.276 0.552
B 0.378 0.378 0.756

***

# 3
Here is Ho2ErThSc5 after structural relaxation from Alexandria via LeMat-Bulk. Energies are from GGA-PBE.

Properties
Symmetry: Cmc2_1 (36)
Formation energy from the elements (meV per atom): 177

abc: 5.373 10.128 9.645
angles: 90.00 90.00 105.38
Positions (direct):
Ho 0.896 0.792 0.819
Ho 0.136 0.272 0.702
Ho 0.104 0.208 0.319
Ho 0.864 0.728 0.202
Er 0.793 0.586 0.528
Er 0.207 0.414 0.028
Th 0.596 0.192 0.924
Th 0.404 0.808 0.424
Sc 0.401 0.802 0.018
Sc 0.743 0.485 0.859
Sc 0.476 0.953 0.724
Sc 0.311 0.622 0.728
Sc 0.981 0.963 0.523
Sc 0.599 0.198 0.518
Sc 0.257 0.515 0.359
Sc 0.524 0.047 0.224
Sc 0.689 0.378 0.228
Sc 0.019 0.037 0.023

***

# 4
Here is TiF3 after structural relaxation from Alexandria via LeMat-Bulk. Energies are from GGA-PBE.

Properties
Symmetry: R-3m (166)
Formation energy without anion corrections (eV/atom): -1.346

abc: 8.400 8.400 8.400
angles: 21.15 21.15 21.15
Positions (direct):
F 0.500 0.500 0.500
F 0.928 0.928 0.928
F 0.072 0.072 0.072
Ti 0.000 0.000 0.000

***

# 5
Here is P2PbBr after structural relaxation from Alexandria via LeMat-Bulk. Energies are from GGA-PBE.

Properties
Symmetry: F-43m (216)
Energy above the most stable polymorph in this dataset (eV/f.u.): 2.868
Formation energy without anion corrections (eV/atom): 0.586

abc: 5.011 5.011 5.011
angles: 60.00 60.00 60.00
Positions (direct):
Br 0.500 0.500 0.500
P 0.000 0.000 0.000
P 0.250 0.250 0.250
Pb 0.750 0.750 0.750